(1)
Here is crystalline K4SbBr at its relaxed geometry from Alexandria. Energies are from PBE.

```
K4SbBr
1.0
0.000 4.910 4.910
4.910 0.000 4.910
4.910 4.910 0.000
Sb K Br
1 4 1
Direct
0.750 0.750 0.750
0.875 0.375 0.375
0.375 0.875 0.375
0.375 0.375 0.875
0.375 0.375 0.375
0.000 0.000 0.000
```

E above lowest polymorph ... 615 meV per atom
Density ... 2.51 Mg/m³
Size of the total moment ... 0.0 μB/cell
Symmetry ... F-43m, No. 216
Formation energy without anion corrections ... -1.25 eV per formula unit



(2)
Here is crystalline K2SbBr5 at its relaxed geometry from Alexandria. Energies are from PBE.

```
K2SbBr5
1.0
5.831 -0.005 -2.489
-3.781 6.976 -0.781
0.273 0.440 8.649
Br K Sb
5 2 1
Direct
0.500 0.029 0.029
0.165 0.349 0.892
0.979 0.707 0.163
0.785 0.793 0.697
0.345 0.262 0.358
0.621 0.373 0.782
0.520 0.683 0.274
0.084 0.028 0.028
```

E above lowest polymorph ... 0 meV per atom
Density ... 2.75 Mg/m³
Size of the total moment ... 0.0 μB/cell
Symmetry ... P1, No. 1
Formation energy without anion corrections ... -9.42 eV per formula unit



(3)
Here is crystalline KSbBr6 at its relaxed geometry from Alexandria. Energies are from PBE.

```
KSbBr6
1.0
-4.601 1.819 -5.546
-6.626 -2.614 2.121
-2.574 10.147 5.188
Br K Sb
12 2 2
Direct
0.535 0.147 0.197
0.199 0.155 0.493
0.267 0.608 0.396
0.155 0.199 0.993
0.853 0.465 0.303
0.465 0.853 0.803
0.147 0.535 0.697
0.845 0.801 0.007
0.801 0.845 0.507
0.733 0.392 0.604
0.392 0.733 0.104
0.608 0.267 0.896
0.007 0.993 0.250
0.993 0.007 0.750
0.000 0.500 0.500
0.500 0.000 0.000
```

E above lowest polymorph ... 0 meV per atom
Density ... 3.41 Mg/m³
Size of the total moment ... 0.0 μB/cell
Symmetry ... C2/c, No. 15
Formation energy without anion corrections ... -5.96 eV per formula unit



(4)
Here is crystalline K3SbBr6 at its relaxed geometry from Alexandria. Energies are from PBE.

```
K3SbBr6
1.0
-5.054 -5.218 3.048
4.728 -6.324 -2.987
5.897 -0.195 9.748
Br Sb K
12 2 6
Direct
0.291 0.823 0.061
0.791 0.677 0.561
0.866 0.945 0.229
0.335 0.782 0.425
0.634 0.445 0.271
0.366 0.555 0.729
0.835 0.718 0.925
0.709 0.177 0.939
0.134 0.055 0.771
0.165 0.282 0.075
0.665 0.218 0.575
0.209 0.323 0.439
0.500 0.500 0.500
0.000 0.000 0.000
0.532 0.918 0.754
0.500 0.500 0.000
0.968 0.418 0.746
0.468 0.082 0.246
0.000 0.000 0.500
0.032 0.582 0.254
```

E above lowest polymorph ... 0 meV per atom
Density ... 3.15 Mg/m³
Size of the total moment ... 0.0 μB/cell
Symmetry ... P2_1/c, No. 14
Formation energy without anion corrections ... -13.10 eV per formula unit



(5)
Here is crystalline KSb4Br at its relaxed geometry from Alexandria. Energies are from PBE.

```
KSb4Br
1.0
0.000 4.792 4.792
4.792 0.000 4.792
4.792 4.792 0.000
Br K Sb
1 1 4
Direct
0.750 0.750 0.750
0.000 0.000 0.000
0.394 0.394 0.394
0.394 0.818 0.394
0.394 0.394 0.818
0.818 0.394 0.394
```

Density ... 4.57 Mg/m³
Size of the total moment ... 0.0 μB/cell
Symmetry ... F-43m, No. 216
Formation energy without anion corrections ... -1.57 eV per formula unit



(6)
Here is crystalline K2SbBr5 at its relaxed geometry from Alexandria. Energies are from PBE.

```
K2SbBr5
1.0
8.124 0.000 0.000
0.000 8.123 0.000
-4.062 -4.061 4.676
Br Sb K
5 1 2
Direct
0.759 0.248 0.007
0.248 0.759 0.007
0.248 0.248 0.007
0.739 0.739 0.478
0.759 0.759 0.007
0.010 0.010 0.021
0.757 0.257 0.513
0.257 0.757 0.513
```

E above lowest polymorph ... 17 meV per atom
Density ... 3.23 Mg/m³
Size of the total moment ... 0.0 μB/cell
Symmetry ... I4mm, No. 107
Formation energy without anion corrections ... -9.28 eV per formula unit



(7)
Here is crystalline K4SbBr6 at its relaxed geometry from Alexandria. Energies are from PBE.

```
K4SbBr6
1.0
-7.935 -4.629 0.581
3.514 -6.684 -5.264
3.084 -4.338 7.566
K Br Sb
8 12 2
Direct
0.835 0.335 0.750
0.335 0.165 0.250
0.835 0.335 0.250
0.335 0.165 0.750
0.665 0.835 0.750
0.165 0.665 0.750
0.665 0.835 0.250
0.165 0.665 0.250
0.614 0.175 0.000
0.500 0.500 0.302
0.175 0.386 0.000
0.000 0.000 0.198
0.000 0.000 0.802
0.825 0.614 0.000
0.114 0.325 0.500
0.325 0.886 0.500
0.500 0.500 0.698
0.675 0.114 0.500
0.386 0.825 0.000
0.886 0.675 0.500
0.500 0.500 0.000
0.000 0.000 0.500
```

Density ... 3.21 Mg/m³
Size of the total moment ... 2.0 μB/cell
Symmetry ... P4/mnc, No. 128
Formation energy without anion corrections ... -14.12 eV per formula unit



(8)
Here is crystalline KSbBr6 at its relaxed geometry from Alexandria. Energies are from PBE.

```
KSbBr6
1.0
7.234 0.008 -0.041
3.608 6.335 -0.015
3.565 2.102 6.708
Br Sb K
6 1 1
Direct
0.999 0.395 0.777
0.605 0.176 0.223
0.001 0.605 0.223
0.395 0.824 0.777
0.817 0.000 0.781
0.183 0.000 0.219
0.000 0.000 0.000
0.500 0.500 0.500
```

E above lowest polymorph ... 29 meV per atom
Density ... 3.45 Mg/m³
Size of the total moment ... 0.0 μB/cell
Symmetry ... P-1, No. 2
Formation energy without anion corrections ... -5.73 eV per formula unit



(9)
Here is crystalline K8Sb2Br at its relaxed geometry from Alexandria. Energies are from PBE.

```
K8Sb2Br
1.0
5.537 0.000 -1.453
-0.582 7.885 -2.216
0.237 -1.109 12.178
K Sb Br
8 2 1
Direct
0.226 0.123 0.451
0.774 0.877 0.549
0.402 0.243 0.803
0.040 0.284 0.081
0.320 0.599 0.640
0.598 0.757 0.197
0.960 0.716 0.919
0.680 0.401 0.360
0.174 0.660 0.349
0.826 0.340 0.651
0.500 0.000 0.000
```

Density ... 2.03 Mg/m³
Size of the total moment ... 0.2 μB/cell
Symmetry ... C2/m, No. 12
Formation energy without anion corrections ... -6.11 eV per formula unit



(10)
Here is crystalline K2SbBr4 at its relaxed geometry from Alexandria. Energies are from PBE.

```
K2SbBr4
1.0
-5.865 0.541 0.064
-0.479 -4.798 -3.384
-3.532 -6.832 5.060
Br K Sb
4 2 1
Direct
0.827 0.827 0.346
0.000 0.500 0.000
0.173 0.173 0.654
0.500 0.000 0.000
0.369 0.369 0.262
0.631 0.631 0.738
0.000 0.000 0.000
```

Density ... 3.03 Mg/m³
Size of the total moment ... 0.0 μB/cell
Symmetry ... I4/mmm, No. 139
Formation energy without anion corrections ... -7.68 eV per formula unit



> size of the total moment of number 10 (K2SbBr4)?

0.0 μB/cell



> The highest formation energy without anion corrections belongs to which entry?

K4SbBr



> What is the formula in the fifth record?

KSb4Br